Record 1
# PBE-GGA PmThPt, relaxed
data_PmThPt
_chemical_formula_sum 'Pm4 Th4 Pt4'
_cell_length_a 7.0784
_cell_length_b 7.0784
_cell_length_c 7.0784
_cell_angle_alpha 90.00
_cell_angle_beta 90.00
_cell_angle_gamma 90.00
_symmetry_space_group_name_H-M 'F -4 3 m'
_symmetry_Int_Tables_number 216
_symmetry_space_group_name_Hall 'F -4 2 3'
loop_
_atom_site_label
_atom_site_type_symbol
_atom_site_fract_x
_atom_site_fract_y
_atom_site_fract_z
_atom_site_occupancy
Pm1 Pm 0.0000 0.0000 0.0000 1
Th1 Th 0.0000 0.0000 0.5000 1
Pt1 Pt 0.2500 0.2500 0.7500 1
# Energy of formation from the pure elements, eV/atom: -0.598
# Density of states at the Fermi level, states/eV/cell: 15.9
# ΔE to the lowest computed polymorph, eV/atom: 0.183


Record 2
# PBE-GGA Pm2ThPt, relaxed
data_Pm2ThPt
_chemical_formula_sum 'Pm8 Th4 Pt4'
_cell_length_a 7.1131
_cell_length_b 10.0861
_cell_length_c 6.6548
_cell_angle_alpha 90.00
_cell_angle_beta 90.00
_cell_angle_gamma 90.00
_symmetry_space_group_name_H-M 'P n m a'
_symmetry_Int_Tables_number 62
_symmetry_space_group_name_Hall '-P 2ac 2n'
loop_
_atom_site_label
_atom_site_type_symbol
_atom_site_fract_x
_atom_site_fract_y
_atom_site_fract_z
_atom_site_occupancy
Pm1 Pm 0.1872 0.0619 0.1650 1
Th1 Th 0.0320 0.2500 0.6537 1
Pt1 Pt 0.1203 0.7500 0.9416 1
# Energy of formation from the pure elements, eV/atom: -0.599
# Density of states at the Fermi level, states/eV/cell: 19.0
# ΔE to the lowest computed polymorph, eV/atom: 0.000


Record 3
# PBE-GGA Pm2ThPt, relaxed
data_Pm2ThPt
_chemical_formula_sum 'Pm2 Th1 Pt1'
_cell_length_a 3.6407
_cell_length_b 3.6407
_cell_length_c 8.4324
_cell_angle_alpha 90.00
_cell_angle_beta 90.00
_cell_angle_gamma 90.00
_symmetry_space_group_name_H-M 'P 4/m m m'
_symmetry_Int_Tables_number 123
_symmetry_space_group_name_Hall '-P 4 2'
loop_
_atom_site_label
_atom_site_type_symbol
_atom_site_fract_x
_atom_site_fract_y
_atom_site_fract_z
_atom_site_occupancy
Pm1 Pm 0.0000 0.0000 0.2023 1
Th1 Th 0.5000 0.5000 0.5000 1
Pt1 Pt 0.5000 0.5000 0.0000 1
# Energy of formation from the pure elements, eV/atom: -0.495
# Density of states at the Fermi level, states/eV/cell: 4.9
# ΔE to the lowest computed polymorph, eV/atom: 0.104